NaGa3Sn2: optimized geometry, PBE-GGA.

Cell: 4.529 10.430 7.980 Å, 126.66 90.00 102.54°
Element x y z (fractional)
Ga (0.060, 0.121, 0.475)
Sn (0.764, 0.528, 0.144)
Ga (0.281, 0.563, 0.585)
Na (0.115, 0.231, 0.055)
Na (0.885, 0.769, 0.945)
Sn (0.236, 0.472, 0.856)
Ga (0.589, 0.178, 0.720)
Ga (0.940, 0.879, 0.525)
Ga (0.411, 0.822, 0.280)
Ga (0.719, 0.437, 0.415)
Sn (0.450, 0.900, 0.759)
Sn (0.550, 0.100, 0.241)

Calculated values
ΔH_f (0 K), kJ/mol of atoms: -6.13
Space-group type: C2/m (12)

***

Ac2Tl8Cu: optimized geometry, PBE-GGA.

Cell: 4.992 4.992 13.120 Å, 90.00 90.00 90.00°
Element x y z (fractional)
Ac (0.000, 0.000, 0.698)
Tl (0.000, 0.500, 0.882)
Tl (0.500, 0.000, 0.118)
Tl (0.500, 0.500, 0.690)
Tl (0.500, 0.000, 0.882)
Tl (0.500, 0.500, 0.310)
Cu (0.000, 0.000, 0.000)
Tl (0.500, 0.000, 0.500)
Tl (0.000, 0.500, 0.118)
Ac (0.000, 0.000, 0.302)
Tl (0.000, 0.500, 0.500)

Calculated values
ΔH_f (0 K), kJ/mol of atoms: -16.44
Space-group type: P4/mmm (123)

***

YFe2SiMo: optimized geometry, PBE-GGA.

Cell: 4.596 4.953 4.596 Å, 90.00 90.00 90.00°
Each line ends with the local moment (μB).
Element x y z (fractional)
Mo (0.000, 0.500, 0.000)  0.47
Y (0.000, 0.000, 0.000)  -0.26
Fe (0.000, 0.000, 0.500)  2.33
Fe (0.500, 0.000, 0.000)  2.42
Si (0.500, 0.500, 0.500)  -0.02

Calculated values
E_form (uncorrected), eV per atom: 2.1751
Space-group type: P4/mmm (123)

***

PPd5Pb2: optimized geometry, PBE-GGA.

Cell: 6.291 7.791 12.195 Å, 90.00 90.00 90.00°
Element x y z (fractional)
Pd (0.026, 0.617, 0.890)
Pb (0.750, 0.822, 0.589)
Pd (0.974, 0.383, 0.110)
Pb (0.250, 0.178, 0.411)
Pd (0.000, 0.000, 0.000)
Pb (0.750, 0.322, 0.911)
Pd (0.474, 0.617, 0.890)
Pd (0.500, 0.000, 0.000)
Pd (0.526, 0.383, 0.110)
Pd (0.526, 0.883, 0.390)
Pd (0.026, 0.117, 0.610)
Pd (0.250, 0.288, 0.913)
Pd (0.000, 0.500, 0.500)
Pd (0.750, 0.534, 0.716)
Pd (0.250, 0.466, 0.284)
P (0.750, 0.308, 0.597)
Pd (0.750, 0.212, 0.413)
Pd (0.250, 0.788, 0.587)
Pb (0.750, 0.051, 0.204)
Pd (0.250, 0.966, 0.216)
Pd (0.500, 0.500, 0.500)
P (0.750, 0.808, 0.903)
Pb (0.250, 0.949, 0.796)
Pb (0.750, 0.551, 0.296)
P (0.250, 0.692, 0.403)
P (0.250, 0.192, 0.097)
Pd (0.750, 0.712, 0.087)
Pb (0.250, 0.449, 0.704)
Pd (0.750, 0.034, 0.784)
Pd (0.974, 0.883, 0.390)
Pd (0.474, 0.117, 0.610)
Pb (0.250, 0.678, 0.089)

Calculated values
ΔH_f (0 K), kJ/mol of atoms: -28.37
Space-group type: Pnma (62)

***

Repeat the third record exactly.
YFe2SiMo: optimized geometry, PBE-GGA.

Cell: 4.596 4.953 4.596 Å, 90.00 90.00 90.00°
Each line ends with the local moment (μB).
Element x y z (fractional)
Mo (0.000, 0.500, 0.000)  0.47
Y (0.000, 0.000, 0.000)  -0.26
Fe (0.000, 0.000, 0.500)  2.33
Fe (0.500, 0.000, 0.000)  2.42
Si (0.500, 0.500, 0.500)  -0.02

Calculated values
E_form (uncorrected), eV per atom: 2.1751
Space-group type: P4/mmm (123)

***

> What is the formula in the first record?

NaGa3Sn2